No. 1
This record from Alexandria via LeMat-Bulk describes a relaxed GePN crystal. The functional is PBE.

Calculated values
- energy relative to the elements, uncorrected (meV per atom) = 95
- space-group type = Imm2 (44)
- energy above the most stable polymorph in this dataset (meV/atom) = 0

Lattice parameters (Å, degrees): 2.715 5.022 7.472 90.00 90.00 90.00
Fractional positions:
Ge (0.000, 0.000, 0.823)
Ge (0.500, 0.500, 0.323)
P (0.000, 0.500, 0.727)
P (0.500, 0.000, 0.227)
N (0.000, 0.000, 0.088)
N (0.500, 0.500, 0.588)

---

No. 2
This record from Alexandria via LeMat-Bulk describes a relaxed PrDyZn2Ga2 crystal. The functional is PBE.

Calculated values
- space-group type = P-3m1 (164)
- DFT formation energy (meV/atom) = -563

Lattice parameters (Å, degrees): 4.459 4.459 7.450 90.00 90.00 120.00
Fractional positions:
Pr (0.000, 0.000, 0.000)
Dy (0.000, 0.000, 0.500)
Zn (0.667, 0.333, 0.722)
Zn (0.333, 0.667, 0.278)
Ga (0.667, 0.333, 0.269)
Ga (0.333, 0.667, 0.731)

---

No. 3
This record from Alexandria via LeMat-Bulk describes a relaxed MnCo3Ni12 crystal. The functional is PBE.

Calculated values
- space-group type = P4/mmm (123)
- DFT formation energy (meV/atom) = -14

Lattice parameters (Å, degrees): 3.530 3.530 14.184 90.00 90.00 90.00
Each line ends with the local moment (μB).
Fractional positions:
Mn (0.000, 0.000, 0.000)  3.35
Co (0.000, 0.000, 0.252)  1.82
Co (0.000, 0.000, 0.500)  1.78
Co (0.000, 0.000, 0.748)  1.82
Ni (0.500, 0.500, 0.000)  0.68
Ni (0.500, 0.500, 0.252)  0.74
Ni (0.500, 0.500, 0.500)  0.74
Ni (0.500, 0.500, 0.748)  0.74
Ni (0.500, 0.000, 0.129)  0.70
Ni (0.500, 0.000, 0.376)  0.75
Ni (0.500, 0.000, 0.624)  0.75
Ni (0.500, 0.000, 0.871)  0.70
Ni (0.000, 0.500, 0.129)  0.70
Ni (0.000, 0.500, 0.376)  0.75
Ni (0.000, 0.500, 0.624)  0.75
Ni (0.000, 0.500, 0.871)  0.70

---

No. 4
This record from Alexandria via LeMat-Bulk describes a relaxed BaHg6Pb12 crystal. The functional is PBE.

Calculated values
- space-group type = R-3m (166)
- DFT formation energy (meV/atom) = 12

Lattice parameters (Å, degrees): 9.035 9.035 9.035 106.70 106.70 106.70
Fractional positions:
Ba (0.000, 0.000, 0.000)
Hg (0.748, 0.269, 0.269)
Hg (0.269, 0.269, 0.748)
Hg (0.269, 0.748, 0.269)
Hg (0.731, 0.731, 0.252)
Hg (0.252, 0.731, 0.731)
Hg (0.731, 0.252, 0.731)
Pb (0.887, 0.113, 0.500)
Pb (0.815, 0.577, 0.577)
Pb (0.577, 0.577, 0.815)
Pb (0.423, 0.185, 0.423)
Pb (0.423, 0.423, 0.185)
Pb (0.185, 0.423, 0.423)
Pb (0.113, 0.500, 0.887)
Pb (0.500, 0.887, 0.113)
Pb (0.113, 0.887, 0.500)
Pb (0.887, 0.500, 0.113)
Pb (0.500, 0.113, 0.887)
Pb (0.577, 0.815, 0.577)

---

no.,raw total energy (eV per atom)
1,-6.02
2,-3.56
3,-6.26
4,-2.53